No. 1
# BaTiC3 | the Alexandria database | PBE | optimized geometry
# V ... 76 Å³ per cell
# E_form ... 5.29 eV/f.u.
# D(E_F) ... 2.2 states/eV per cell
data_BaTiC3
_symmetry_space_group_name_H-M 'P m -3 m'
_symmetry_Int_Tables_number 221
_symmetry_space_group_name_Hall '-P 4 2 3'
_cell_length_a 4.245
_cell_length_b 4.245
_cell_length_c 4.245
_cell_angle_alpha 90.00
_cell_angle_beta 90.00
_cell_angle_gamma 90.00
loop_
_atom_site_label
_atom_site_fract_x
_atom_site_fract_y
_atom_site_fract_z
Ba1 0.000 0.000 0.000
Ti1 0.500 0.500 0.500
C1 0.000 0.500 0.500

No. 2
# InAs2Pb | the Alexandria database | PBE | optimized geometry
# V ... 386 Å³ per cell
# E_form ... 1.12 eV/f.u.
# D(E_F) ... 7.9 states/eV per cell
data_InAs2Pb
_symmetry_space_group_name_H-M 'F -4 3 m'
_symmetry_Int_Tables_number 216
_symmetry_space_group_name_Hall 'F -4 2 3'
_cell_length_a 7.279
_cell_length_b 7.279
_cell_length_c 7.279
_cell_angle_alpha 90.00
_cell_angle_beta 90.00
_cell_angle_gamma 90.00
loop_
_atom_site_label
_atom_site_fract_x
_atom_site_fract_y
_atom_site_fract_z
In1 0.000 0.000 0.000
As1 0.000 0.000 0.500
As2 0.250 0.250 0.250
Pb1 0.250 0.250 0.750

No. 3
# Sm2Dy12Th5 | the Alexandria database | PBE | optimized geometry
# V ... 1239 Å³ per cell
# E_form ... 4.08 eV/f.u.
# D(E_F) ... 60.3 states/eV per cell
data_Sm2Dy12Th5
_symmetry_space_group_name_H-M 'C 1 2/m 1'
_symmetry_Int_Tables_number 12
_cell_length_a 18.618
_cell_length_b 7.016
_cell_length_c 10.285
_cell_angle_alpha 90.00
_cell_angle_beta 112.80
_cell_angle_gamma 90.00
loop_
_symmetry_equiv_pos_as_xyz
'x,y,z'
'-x,-y,-z'
'-x,y,-z'
'x,-y,z'
'x+1/2,y+1/2,z'
'-x+1/2,-y+1/2,-z'
'-x+1/2,y+1/2,-z'
'x+1/2,-y+1/2,z'
loop_
_atom_site_label
_atom_site_fract_x
_atom_site_fract_y
_atom_site_fract_z
Sm1 0.000 0.217 0.000
Dy1 0.003 0.000 0.329
Dy2 0.032 0.500 0.242
Dy3 0.157 0.254 0.864
Dy4 0.168 0.249 0.521
Th1 0.000 0.500 0.500
Th2 0.179 0.000 0.210
Th3 0.187 0.500 0.177

No. 4
# Ac2PmOsN4 | the Alexandria database | PBE | optimized geometry
# V ... 583 Å³ per cell
# Uncorrected formation energy ... -603 meV/atom
# D(E_F) ... 7.2 states/eV per cell
data_Ac2PmOsN4
_symmetry_space_group_name_H-M 'C m c m'
_symmetry_Int_Tables_number 63
_symmetry_space_group_name_Hall '-C 2c 2'
_cell_length_a 3.577
_cell_length_b 12.639
_cell_length_c 12.894
_cell_angle_alpha 90.00
_cell_angle_beta 90.00
_cell_angle_gamma 90.00
loop_
_atom_site_label
_atom_site_fract_x
_atom_site_fract_y
_atom_site_fract_z
Ac1 0.000 0.133 0.042
Pm1 0.000 0.371 0.250
Os1 0.000 0.344 0.750
N1 0.000 0.091 0.250
N2 0.000 0.220 0.645
N3 0.000 0.500 0.000

No. 5
# Ca2BeH | the Alexandria database | PBE | optimized geometry
# V ... 333 Å³ per cell
# D(E_F) ... 21.2 states/eV per cell
data_Ca2BeH
_symmetry_space_group_name_H-M 'F m -3 m'
_symmetry_Int_Tables_number 225
_symmetry_space_group_name_Hall '-F 4 2 3'
_cell_length_a 6.929
_cell_length_b 6.929
_cell_length_c 6.929
_cell_angle_alpha 90.00
_cell_angle_beta 90.00
_cell_angle_gamma 90.00
loop_
_atom_site_label
_atom_site_fract_x
_atom_site_fract_y
_atom_site_fract_z
Ca1 0.250 0.250 0.250
Be1 0.000 0.000 0.000
H1 0.000 0.000 0.500

No. 6
# GdTiRh2 | the Alexandria database | PBE | optimized geometry
# V ... 71 Å³ per cell
# E_form ... -2.43 eV/f.u.
# D(E_F) ... 4.1 states/eV per cell
data_GdTiRh2
_symmetry_space_group_name_H-M 'P 4/m m m'
_symmetry_Int_Tables_number 123
_symmetry_space_group_name_Hall '-P 4 2'
_cell_length_a 4.731
_cell_length_b 4.731
_cell_length_c 3.178
_cell_angle_alpha 90.00
_cell_angle_beta 90.00
_cell_angle_gamma 90.00
loop_
_atom_site_label
_atom_site_fract_x
_atom_site_fract_y
_atom_site_fract_z
Gd1 0.000 0.000 0.000
Ti1 0.500 0.500 0.000
Rh1 0.000 0.500 0.500

No. 7
# NpTl2Au | the Alexandria database | PBE | optimized geometry
# V ... 101 Å³ per cell
# E_form ... 0.63 eV/f.u.
# D(E_F) ... 10.7 states/eV per cell
data_NpTl2Au
_symmetry_space_group_name_H-M 'P 4/m m m'
_symmetry_Int_Tables_number 123
_symmetry_space_group_name_Hall '-P 4 2'
_cell_length_a 4.545
_cell_length_b 4.545
_cell_length_c 4.899
_cell_angle_alpha 90.00
_cell_angle_beta 90.00
_cell_angle_gamma 90.00
loop_
_atom_site_label
_atom_site_fract_x
_atom_site_fract_y
_atom_site_fract_z
Np1 0.000 0.000 0.000
Tl1 0.000 0.500 0.500
Au1 0.500 0.500 0.000

No. 8
# AlCr4Si | the Alexandria database | PBE | optimized geometry
# V ... 304 Å³ per cell
# Uncorrected formation energy ... 137 meV/atom
# D(E_F) ... 15.2 states/eV per cell
data_AlCr4Si
_symmetry_space_group_name_H-M 'F -4 3 m'
_symmetry_Int_Tables_number 216
_symmetry_space_group_name_Hall 'F -4 2 3'
_cell_length_a 6.727
_cell_length_b 6.727
_cell_length_c 6.727
_cell_angle_alpha 90.00
_cell_angle_beta 90.00
_cell_angle_gamma 90.00
loop_
_atom_site_label
_atom_site_fract_x
_atom_site_fract_y
_atom_site_fract_z
Al1 0.000 0.000 0.000
Cr1 0.125 0.125 0.625
Si1 0.250 0.250 0.250

The records above yield E values of -6.4396; -3.6569; -5.1413; -7.7906; -2.3718; -9.7761; -5.0804; -7.8059 eV/atom, respectively.